Record 1
DFT (GGA-PBE) results for a geometry-optimized ZrTi2Hg2 structure.

a = 5.500 Å, b = 4.863 Å, c = 7.641 Å
α = 90.00°, β = 104.85°, γ = 90.00°
Fractional coordinates of all 10 atoms:
Zr (0.240, 0.250, 0.226)
Zr (0.760, 0.750, 0.774)
Ti (0.084, 0.250, 0.811)
Ti (0.133, 0.750, 0.554)
Ti (0.867, 0.250, 0.446)
Ti (0.916, 0.750, 0.189)
Hg (0.323, 0.750, 0.970)
Hg (0.457, 0.250, 0.620)
Hg (0.543, 0.750, 0.380)
Hg (0.677, 0.250, 0.030)

Space-group type: No. 11
Crystal system: monoclinic
Energy of formation from the pure elements (eV/atom): -0.0164


Record 2
DFT (GGA-PBE) results for a geometry-optimized MgGaB2 structure.

a = 5.761 Å, b = 5.761 Å, c = 5.761 Å
α = 90.00°, β = 90.00°, γ = 90.00°
Fractional coordinates of all 16 atoms:
Mg (0.000, 0.000, 0.000)
Mg (0.000, 0.500, 0.500)
Mg (0.500, 0.000, 0.500)
Mg (0.500, 0.500, 0.000)
Ga (0.000, 0.000, 0.500)
Ga (0.000, 0.500, 0.000)
Ga (0.500, 0.000, 0.000)
Ga (0.500, 0.500, 0.500)
B (0.250, 0.250, 0.250)
B (0.250, 0.250, 0.750)
B (0.250, 0.750, 0.250)
B (0.250, 0.750, 0.750)
B (0.750, 0.250, 0.250)
B (0.750, 0.250, 0.750)
B (0.750, 0.750, 0.250)
B (0.750, 0.750, 0.750)

Space-group type: No. 225
Crystal system: cubic
Energy of formation from the pure elements (eV/atom): 1.0127


Record 3
DFT (GGA-PBE) results for a geometry-optimized Dy4ErTl structure.

a = 8.245 Å, b = 8.245 Å, c = 6.433 Å
α = 99.69°, β = 99.69°, γ = 116.73°
Fractional coordinates of all 12 atoms:
Dy (0.095, 0.713, 0.960)
Dy (0.161, 0.412, 0.619)
Dy (0.287, 0.905, 0.540)
Dy (0.412, 0.161, 0.119)
Dy (0.588, 0.839, 0.881)
Dy (0.713, 0.095, 0.460)
Dy (0.839, 0.588, 0.381)
Dy (0.905, 0.287, 0.040)
Er (0.410, 0.590, 0.250)
Er (0.590, 0.410, 0.750)
Tl (0.000, 0.000, 0.250)
Tl (0.000, 0.000, 0.750)

Space-group type: No. 15
Crystal system: monoclinic
Energy of formation from the pure elements (eV/atom): -0.0143